Entry 1:
The following is a PBE calculation of crystalline Na2SrIrF8 at its relaxed geometry, from Alexandria.

Unit cell a=4.314 b=5.512 c=7.495 alpha=90.00 beta=90.00 gamma=92.56
Positions (direct):
F 0.886 0.213 0.202
F 0.114 0.787 0.798
F 0.472 0.250 0.500
F 0.114 0.787 0.202
F 0.363 0.222 0.000
F 0.637 0.778 0.000
F 0.886 0.213 0.798
F 0.528 0.750 0.500
Sr 0.000 0.000 0.500
Na 0.500 0.500 0.746
Na 0.500 0.500 0.254
Ir 0.000 0.000 0.000

DOS at the Fermi energy (states/eV/cell): 6.65
Raw total energy (eV per atom): -4.859

---

Entry 2:
The following is a PBE calculation of crystalline NaSrIrF6 at its relaxed geometry, from Alexandria.

Unit cell a=5.983 b=5.983 c=8.983 alpha=90.00 beta=90.00 gamma=120.00
Positions (direct):
Sr 0.667 0.333 0.750
Sr 0.333 0.667 0.250
F 0.324 0.949 0.627
F 0.949 0.625 0.373
F 0.051 0.375 0.627
F 0.625 0.676 0.627
F 0.051 0.676 0.873
F 0.625 0.949 0.873
F 0.375 0.051 0.127
F 0.375 0.324 0.373
F 0.324 0.375 0.873
F 0.676 0.625 0.127
F 0.676 0.051 0.373
F 0.949 0.324 0.127
Na 0.000 0.000 0.500
Na 0.000 0.000 0.000
Ir 0.333 0.667 0.750
Ir 0.667 0.333 0.250

DOS at the Fermi energy (states/eV/cell): 0.00
Raw total energy (eV per atom): -5.066

---

Magnetization readings, ordered: 1.01, 0.39 μB/cell